Entry 1:
An optimized crystal structure of Pu8GeSb5. Source: the Alexandria database, functional PBE.

```
data_Pu8GeSb5
_symmetry_space_group_name_H-M 'I -4'
_symmetry_Int_Tables_number 82
_cell_length_a 9.218
_cell_length_b 9.218
_cell_length_c 9.185
_cell_angle_alpha 90.00
_cell_angle_beta 90.00
_cell_angle_gamma 90.00
loop_
_symmetry_equiv_pos_as_xyz
'x,y,z'
'y,-x,-z'
'-x,-y,z'
'-y,x,-z'
'x+1/2,y+1/2,z+1/2'
'y+1/2,-x+1/2,-z+1/2'
'-x+1/2,-y+1/2,z+1/2'
'-y+1/2,x+1/2,-z+1/2'
loop_
_atom_site_label
_atom_site_type_symbol
_atom_site_fract_x
_atom_site_fract_y
_atom_site_fract_z
_atom_site_occupancy
Pu1 Pu 0.075 0.169 0.213 1
Pu2 Pu 0.076 0.314 0.546 1
Ge1 Ge 0.000 0.000 0.500 1
Sb1 Sb 0.000 0.500 0.250 1
Sb2 Sb 0.120 0.251 0.880 1
```

---

Entry 2:
An optimized crystal structure of PuGeSb2. Source: the Alexandria database, functional PBE.

```
data_PuGeSb2
_symmetry_space_group_name_H-M 'P 4/m m m'
_symmetry_Int_Tables_number 123
_symmetry_space_group_name_Hall '-P 4 2'
_cell_length_a 4.051
_cell_length_b 4.051
_cell_length_c 6.070
_cell_angle_alpha 90.00
_cell_angle_beta 90.00
_cell_angle_gamma 90.00
loop_
_atom_site_label
_atom_site_type_symbol
_atom_site_fract_x
_atom_site_fract_y
_atom_site_fract_z
_atom_site_occupancy
Pu1 Pu 0.000 0.000 0.000 1
Ge1 Ge 0.000 0.000 0.500 1
Sb1 Sb 0.500 0.500 0.256 1
```

Properties
For the distance to the lowest polymorph of the same formula, the calculation gives 66.5 meV per atom.

---

Entry 3:
An optimized crystal structure of Pu3GeSb2. Source: the Alexandria database, functional PBE.

```
data_Pu3GeSb2
_symmetry_space_group_name_H-M 'P n m a'
_symmetry_Int_Tables_number 62
_cell_length_a 12.849
_cell_length_b 4.492
_cell_length_c 11.235
_cell_angle_alpha 90.00
_cell_angle_beta 90.00
_cell_angle_gamma 90.00
loop_
_symmetry_equiv_pos_as_xyz
'x,y,z'
'-x,-y,-z'
'-x+1/2,-y,z+1/2'
'x+1/2,y,-z+1/2'
'x+1/2,-y+1/2,-z+1/2'
'-x+1/2,y+1/2,z+1/2'
'-x,y+1/2,-z'
'x,-y+1/2,z'
loop_
_atom_site_label
_atom_site_type_symbol
_atom_site_fract_x
_atom_site_fract_y
_atom_site_fract_z
_atom_site_occupancy
Pu1 Pu 0.045 0.250 0.102 1
Pu2 Pu 0.118 0.750 0.544 1
Pu3 Pu 0.245 0.750 0.290 1
Ge1 Ge 0.110 0.250 0.365 1
Sb1 Sb 0.023 0.250 0.718 1
Sb2 Sb 0.194 0.750 0.003 1
```

Properties
For the distance to the lowest polymorph of the same formula, the calculation gives 12.1 meV per atom.

---

Entry 4:
An optimized crystal structure of Pu5Ge2Sb. Source: the Alexandria database, functional PBE.

```
data_Pu5Ge2Sb
_symmetry_space_group_name_H-M 'I 4/m c m'
_symmetry_Int_Tables_number 140
_symmetry_space_group_name_Hall '-I 4 2c'
_cell_length_a 8.015
_cell_length_b 8.015
_cell_length_c 11.000
_cell_angle_alpha 90.00
_cell_angle_beta 90.00
_cell_angle_gamma 90.00
loop_
_atom_site_label
_atom_site_type_symbol
_atom_site_fract_x
_atom_site_fract_y
_atom_site_fract_z
_atom_site_occupancy
Pu1 Pu 0.000 0.000 0.000 1
Pu2 Pu 0.142 0.358 0.216 1
Ge1 Ge 0.132 0.368 0.500 1
Sb1 Sb 0.000 0.000 0.250 1
```

---

Entry 5:
An optimized crystal structure of Pu3GeSb2. Source: the Alexandria database, functional PBE.

```
data_Pu3GeSb2
_symmetry_space_group_name_H-M 'C 1 2/c 1'
_symmetry_Int_Tables_number 15
_cell_length_a 7.446
_cell_length_b 13.132
_cell_length_c 7.535
_cell_angle_alpha 90.00
_cell_angle_beta 110.10
_cell_angle_gamma 90.00
loop_
_symmetry_equiv_pos_as_xyz
'x,y,z'
'-x,-y,-z'
'-x,y,-z+1/2'
'x,-y,z+1/2'
'x+1/2,y+1/2,z'
'-x+1/2,-y+1/2,-z'
'-x+1/2,y+1/2,-z+1/2'
'x+1/2,-y+1/2,z+1/2'
loop_
_atom_site_label
_atom_site_type_symbol
_atom_site_fract_x
_atom_site_fract_y
_atom_site_fract_z
_atom_site_occupancy
Pu1 Pu 0.226 0.078 0.490 1
Pu2 Pu 0.250 0.250 0.000 1
Ge1 Ge 0.000 0.092 0.750 1
Sb1 Sb 0.000 0.261 0.250 1
Sb2 Sb 0.000 0.419 0.750 1
```

Properties
For the distance to the lowest polymorph of the same formula, the calculation gives 0.0 meV per atom.

---

Entry 6:
An optimized crystal structure of Pu2GeSb. Source: the Alexandria database, functional PBE.

```
data_Pu2GeSb
_symmetry_space_group_name_H-M 'P 4/m m m'
_symmetry_Int_Tables_number 123
_symmetry_space_group_name_Hall '-P 4 2'
_cell_length_a 3.988
_cell_length_b 3.988
_cell_length_c 6.008
_cell_angle_alpha 90.00
_cell_angle_beta 90.00
_cell_angle_gamma 90.00
loop_
_atom_site_label
_atom_site_type_symbol
_atom_site_fract_x
_atom_site_fract_y
_atom_site_fract_z
_atom_site_occupancy
Pu1 Pu 0.000 0.000 0.236 1
Ge1 Ge 0.500 0.500 0.000 1
Sb1 Sb 0.500 0.500 0.500 1
```

Properties
For the distance to the lowest polymorph of the same formula, the calculation gives 0.0 meV per atom.

---

Let's list uncorrected energy in order: -296.76; -28.23; -233.08; -336.72; -233.37; -39.47 eV per cell.
Let's list M_tot in order: 90.00; 5.41; 23.40; 21.09; 59.61; 10.99 μB/cell.